Entry 1:
YTh4Bi6 after structural relaxation, computed with PBE.

Unit cell a=8.994 b=8.994 c=8.994 alpha=89.96 beta=89.96 gamma=89.96
Fractional positions:
Y 0.000 0.000 0.000
Y 0.500 0.500 0.500
Th 0.143 0.750 0.357
Th 0.250 0.250 0.250
Th 0.250 0.643 0.857
Th 0.357 0.143 0.750
Th 0.643 0.857 0.250
Th 0.750 0.357 0.143
Th 0.750 0.750 0.750
Th 0.857 0.250 0.643
Bi 0.063 0.921 0.671
Bi 0.079 0.329 0.937
Bi 0.171 0.421 0.563
Bi 0.329 0.937 0.079
Bi 0.421 0.563 0.171
Bi 0.437 0.829 0.579
Bi 0.563 0.171 0.421
Bi 0.579 0.437 0.829
Bi 0.671 0.063 0.921
Bi 0.829 0.579 0.437
Bi 0.921 0.671 0.063
Bi 0.937 0.079 0.329

## Properties
**DOS at the Fermi energy**: 0.50 states/eV/atom
**Energy of formation**: -530.2 meV/atom

---

Entry 2:
Y3ThBi4 after structural relaxation, computed with PBE.

Unit cell a=9.017 b=12.758 c=4.523 alpha=90.00 beta=90.00 gamma=90.00
Fractional positions:
Y 0.000 0.000 0.000
Y 0.250 0.250 0.500
Y 0.250 0.750 0.500
Y 0.500 0.500 0.000
Y 0.750 0.250 0.500
Y 0.750 0.750 0.500
Th 0.000 0.500 0.000
Th 0.500 0.000 0.000
Bi 0.000 0.247 0.000
Bi 0.000 0.753 0.000
Bi 0.244 0.000 0.500
Bi 0.256 0.500 0.500
Bi 0.500 0.253 0.000
Bi 0.500 0.747 0.000
Bi 0.744 0.500 0.500
Bi 0.756 0.000 0.500

## Properties
**DOS at the Fermi energy**: 0.23 states/eV/atom
**Energy of formation**: -823.3 meV/atom

---

Entry 3:
Y2ThBi after structural relaxation, computed with PBE.

Unit cell a=3.635 b=3.635 c=32.789 alpha=90.00 beta=90.00 gamma=120.00
Fractional positions:
Y 0.000 0.000 0.000
Y 0.000 0.000 0.175
Y 0.333 0.667 0.667
Y 0.333 0.667 0.842
Y 0.667 0.333 0.333
Y 0.667 0.333 0.509
Th 0.000 0.000 0.421
Th 0.333 0.667 0.087
Th 0.667 0.333 0.754
Bi 0.000 0.000 0.588
Bi 0.333 0.667 0.254
Bi 0.667 0.333 0.921

## Properties
**DOS at the Fermi energy**: 1.64 states/eV/atom
**ΔE to the lowest computed polymorph**: 0.203 eV per atom
**Energy of formation**: -166.6 meV/atom

---

Entry 4:
YTh2Bi after structural relaxation, computed with PBE.

Unit cell a=3.512 b=3.512 c=37.775 alpha=90.00 beta=90.00 gamma=120.00
Fractional positions:
Y 0.000 0.000 0.000
Y 0.333 0.667 0.667
Y 0.667 0.333 0.333
Th 0.000 0.000 0.413
Th 0.000 0.000 0.587
Th 0.333 0.667 0.079
Th 0.333 0.667 0.254
Th 0.667 0.333 0.746
Th 0.667 0.333 0.921
Bi 0.000 0.000 0.500
Bi 0.333 0.667 0.167
Bi 0.667 0.333 0.833

## Properties
**DOS at the Fermi energy**: 1.50 states/eV/atom
**ΔE to the lowest computed polymorph**: 0.439 eV per atom
**Energy of formation**: 134.0 meV/atom

---

Entry 5:
YTh5Bi6 after structural relaxation, computed with PBE.

Unit cell a=7.930 b=7.930 c=7.936 alpha=99.61 beta=99.61 gamma=120.01
Fractional positions:
Y 0.000 0.000 0.000
Th 0.170 0.830 0.500
Th 0.335 0.665 0.000
Th 0.500 0.500 0.500
Th 0.665 0.335 0.000
Th 0.830 0.170 0.500
Bi 0.081 0.409 0.245
Bi 0.243 0.243 0.750
Bi 0.409 0.081 0.245
Bi 0.591 0.919 0.755
Bi 0.757 0.757 0.250
Bi 0.919 0.591 0.755

## Properties
**DOS at the Fermi energy**: 0.73 states/eV/atom
**Energy of formation**: -611.6 meV/atom

---

Entry 6:
YTh2Bi3 after structural relaxation, computed with PBE.

Unit cell a=8.963 b=8.963 c=11.033 alpha=106.76 beta=106.76 gamma=29.47
Fractional positions:
Y 0.000 0.000 0.000
Y 0.500 0.500 0.500
Th 0.167 0.167 0.834
Th 0.332 0.332 0.663
Th 0.668 0.668 0.337
Th 0.833 0.833 0.166
Bi 0.134 0.134 0.528
Bi 0.192 0.192 0.139
Bi 0.473 0.473 0.193
Bi 0.527 0.527 0.807
Bi 0.808 0.808 0.861
Bi 0.866 0.866 0.472

## Properties
**DOS at the Fermi energy**: 0.46 states/eV/atom
**ΔE to the lowest computed polymorph**: 0.059 eV per atom
**Energy of formation**: -610.9 meV/atom

---

Entry 7:
YTh6Bi8 after structural relaxation, computed with PBE.

Unit cell a=8.534 b=8.534 c=8.534 alpha=68.67 beta=68.67 gamma=68.67
Fractional positions:
Y 0.000 0.000 0.000
Th 0.076 0.693 0.461
Th 0.307 0.539 0.924
Th 0.461 0.076 0.693
Th 0.539 0.924 0.307
Th 0.693 0.461 0.076
Th 0.924 0.307 0.539
Bi 0.095 0.361 0.816
Bi 0.184 0.905 0.639
Bi 0.331 0.331 0.331
Bi 0.361 0.816 0.095
Bi 0.639 0.184 0.905
Bi 0.669 0.669 0.669
Bi 0.816 0.095 0.361
Bi 0.905 0.639 0.184

## Properties
**DOS at the Fermi energy**: 0.71 states/eV/atom
**Energy of formation**: -533.7 meV/atom

---

Entry 8:
Th4ZnBi2 after structural relaxation, computed with PBE.

Unit cell a=15.873 b=4.402 c=7.405 alpha=90.00 beta=116.27 gamma=90.00
Fractional positions:
Th 0.101 0.000 0.295
Th 0.106 0.500 0.751
Th 0.394 0.000 0.249
Th 0.399 0.500 0.705
Th 0.601 0.500 0.295
Th 0.606 0.000 0.751
Th 0.894 0.500 0.249
Th 0.899 0.000 0.705
Zn 0.000 0.500 0.000
Zn 0.500 0.000 0.000
Bi 0.239 0.500 0.235
Bi 0.261 0.000 0.765
Bi 0.739 0.000 0.235
Bi 0.761 0.500 0.765

## Properties
**DOS at the Fermi energy**: 0.73 states/eV/atom
**Energy of formation**: -157.8 meV/atom